The following is a PBE-GGA calculation of a relaxed structure of ZrZnCoSn, from OQMD.

Results
Energy = -5.412 eV per atom
Total magnetization = 0.0 μB/cell
Energy above the lowest structure with this stoichiometry = 0 meV/atom
Space group = F-43m (216)

Lattice parameters (Å, degrees): 4.555 4.555 4.555 60.00 60.00 60.00
Fractional positions:
Zr 0.000 0.000 0.000
Zn 0.250 0.250 0.250
Co 0.750 0.750 0.750
Sn 0.500 0.500 0.500